Record 1
ZnMo2Pt: relaxed, PBE.

a b c (Å): 2.729 2.729 8.254
angles (deg): 90.00 90.00 91.15
Fractional positions:
Zn1 0.000 0.000 0.000
Mo1 0.000 0.000 0.524
Mo2 0.500 0.500 0.251
Pt1 0.500 0.500 0.763

Values from the calculation:
crystal system = orthorhombic
energy of formation = -0.101 eV per atom
density of states at the Fermi level = 2.349 states/eV/f.u.
symmetry = No. 35
total magnetization = 0.00 μB per atom



Record 2
Zn2MoPt: relaxed, PBE.

a b c (Å): 8.983 8.983 8.983
angles (deg): 18.01 18.01 18.01
Fractional positions:
Zn1 0.248 0.248 0.248
Zn2 0.752 0.752 0.752
Mo1 0.000 0.000 0.000
Pt1 0.500 0.500 0.500

Values from the calculation:
energy relative to the lowest polymorph listed for this composition = 0.1261 eV/atom
crystal system = trigonal
energy of formation = -0.058 eV per atom
density of states at the Fermi level = 4.586 states/eV/f.u.
symmetry = No. 166
total magnetization = 0.00 μB per atom



Record 3
Zn2MoPt: relaxed, PBE.

a b c (Å): 4.653 4.653 4.995
angles (deg): 99.53 99.53 34.46
Fractional positions:
Zn1 0.247 0.247 0.249
Zn2 0.753 0.753 0.751
Mo1 0.000 0.000 0.500
Pt1 0.500 0.500 0.000

Values from the calculation:
energy relative to the lowest polymorph listed for this composition = 0.1065 eV/atom
crystal system = monoclinic
energy of formation = -0.078 eV per atom
density of states at the Fermi level = 3.733 states/eV/f.u.
symmetry = No. 12
total magnetization = 0.00 μB per atom



Record 4
Zn2MoPt: relaxed, PBE.

a b c (Å): 2.714 4.367 5.128
angles (deg): 90.00 92.97 90.00
Fractional positions:
Zn1 0.096 0.000 0.239
Zn2 0.904 0.000 0.761
Mo1 0.500 0.500 0.000
Pt1 0.000 0.500 0.500

Values from the calculation:
energy relative to the lowest polymorph listed for this composition = 0.0911 eV/atom
crystal system = monoclinic
energy of formation = -0.093 eV per atom
density of states at the Fermi level = 2.791 states/eV/f.u.
symmetry = No. 10
total magnetization = 0.00 μB per atom



Record 5
Zn2MoPt: relaxed, PBE.

a b c (Å): 2.774 4.563 4.835
angles (deg): 90.00 90.00 90.00
Fractional positions:
Zn1 0.000 0.000 0.000
Zn2 0.500 0.000 0.500
Mo1 0.000 0.500 0.500
Pt1 0.500 0.500 0.000

Values from the calculation:
energy relative to the lowest polymorph listed for this composition = 0.1551 eV/atom
crystal system = orthorhombic
energy of formation = -0.029 eV per atom
density of states at the Fermi level = 2.206 states/eV/f.u.
symmetry = No. 47
total magnetization = 0.05 μB per atom



Record 6
Zn2MoPt: relaxed, PBE.

a b c (Å): 2.779 2.779 7.776
angles (deg): 90.00 90.00 90.00
Fractional positions:
Zn1 0.000 0.000 0.000
Zn2 0.500 0.500 0.252
Mo1 0.000 0.000 0.505
Pt1 0.500 0.500 0.756

Values from the calculation:
energy relative to the lowest polymorph listed for this composition = 0.0000 eV/atom
crystal system = tetragonal
energy of formation = -0.184 eV per atom
density of states at the Fermi level = 1.759 states/eV/f.u.
symmetry = No. 99
total magnetization = 0.00 μB per atom



Record 7
Zn2MoPt: relaxed, PBE.

a b c (Å): 2.731 4.257 5.376
angles (deg): 90.00 104.39 90.00
Fractional positions:
Zn1 0.000 0.000 0.000
Zn2 0.396 0.500 0.801
Mo1 0.656 0.500 0.305
Pt1 0.258 0.000 0.512

Values from the calculation:
energy relative to the lowest polymorph listed for this composition = 0.0604 eV/atom
crystal system = monoclinic
energy of formation = -0.124 eV per atom
density of states at the Fermi level = 2.295 states/eV/f.u.
symmetry = No. 6
total magnetization = 0.00 μB per atom



Record 8
Zr2ZnMoPt: relaxed, PBE.

a b c (Å): 4.906 4.906 4.423
angles (deg): 90.00 90.00 90.00
Fractional positions:
Zr1 0.000 0.500 0.000
Zr2 0.500 0.000 0.000
Zn1 0.000 0.000 0.000
Mo1 0.500 0.500 0.500
Pt1 0.000 0.000 0.500

Values from the calculation:
crystal system = tetragonal
energy of formation = 0.819 eV per atom
density of states at the Fermi level = 5.606 states/eV/f.u.
symmetry = No. 123
total magnetization = 0.00 μB per atom



Record 9
ZrMoPt2: relaxed, PBE.

a b c (Å): 9.689 9.689 9.689
angles (deg): 16.94 16.94 16.94
Fractional positions:
Zr1 0.000 0.000 0.000
Mo1 0.500 0.500 0.500
Pt1 0.246 0.246 0.246
Pt2 0.754 0.754 0.754

Values from the calculation:
energy relative to the lowest polymorph listed for this composition = 0.3549 eV/atom
crystal system = trigonal
energy of formation = -0.257 eV per atom
density of states at the Fermi level = 2.609 states/eV/f.u.
symmetry = No. 166
total magnetization = 0.00 μB per atom



Record 10
ZrMoPt2: relaxed, PBE.

a b c (Å): 3.264 3.556 5.992
angles (deg): 90.00 90.00 90.00
Fractional positions:
Zr1 0.000 0.000 0.000
Mo1 0.500 0.500 0.300
Pt1 0.000 0.000 0.498
Pt2 0.500 0.500 0.769

Values from the calculation:
energy relative to the lowest polymorph listed for this composition = 0.1291 eV/atom
crystal system = orthorhombic
energy of formation = -0.483 eV per atom
density of states at the Fermi level = 2.933 states/eV/f.u.
symmetry = No. 25
total magnetization = 0.00 μB per atom



Record 11
ZrMoPt2: relaxed, PBE.

a b c (Å): 9.720 9.720 9.720
angles (deg): 156.32 156.32 33.73
Fractional positions:
Zr1 0.000 0.000 0.000
Zr2 0.750 0.250 0.500
Mo1 0.250 0.750 0.500
Mo2 0.500 0.500 0.000
Pt1 0.134 0.625 0.009
Pt2 0.375 0.384 0.509
Pt3 0.616 0.125 0.991
Pt4 0.875 0.866 0.491

Values from the calculation:
energy relative to the lowest polymorph listed for this composition = 0.6044 eV/atom
crystal system = tetragonal
energy of formation = -0.008 eV per atom
density of states at the Fermi level = 4.877 states/eV/f.u.
symmetry = No. 122
total magnetization = 0.00 μB per atom



Record 12
Zr3MoPt: relaxed, PBE.

a b c (Å): 4.950 4.950 4.950
angles (deg): 90.00 90.00 90.00
Fractional positions:
Zr1 0.000 0.000 0.500
Zr2 0.000 0.500 0.000
Zr3 0.500 0.000 0.000
Mo1 0.000 0.000 0.000
Pt1 0.500 0.500 0.500

Values from the calculation:
energy relative to the lowest polymorph listed for this composition = 0.0000 eV/atom
crystal system = cubic
energy of formation = 0.693 eV per atom
density of states at the Fermi level = 7.892 states/eV/f.u.
symmetry = No. 221
total magnetization = 0.00 μB per atom